(1)
A PBEsol-optimized structure of Ca3SnH. Source: the Alexandria database, functional SCAN.

Cell: 4.8795 4.8795 4.8795 Å, 90.00 90.00 90.00°
Closest atoms and distances in Å follow each position.
Sites, in units of the cell vectors:
Ca: 0.0000 0.0000 0.5000  2 H 2.44
Ca: 0.0000 0.5000 0.0000  2 H 2.44
Ca: 0.5000 0.0000 0.0000  2 H 2.44
Sn: 0.5000 0.5000 0.5000  12 Ca 3.45
H: 0.0000 0.0000 0.0000  6 Ca 2.44

Output
- E (eV per cell) = -71.03
- space-group type = Pm-3m, No. 221


(2)
A PBEsol-optimized structure of Rb. Source: the Alexandria database, functional SCAN.

Cell: 4.6059 4.6059 16.6446 Å, 90.00 90.00 90.00°
Closest atoms and distances in Å follow each position.
Sites, in units of the cell vectors:
Rb: 0.0000 0.2500 0.3750  8 Rb 4.61-4.76
Rb: 0.0000 0.7500 0.6250  8 Rb 4.61-4.76
Rb: 0.5000 0.2500 0.1250  8 Rb 4.61-4.76
Rb: 0.5000 0.7500 0.8750  8 Rb 4.61-4.76

Output
- E_form (eV/f.u.) = 0.1
- space-group type = I4_1/amd, No. 141
- ΔE to the lowest computed polymorph (meV/atom) = 59.2


(3)
A PBEsol-optimized structure of SrPt5. Source: the Alexandria database, functional SCAN.

Cell: 5.4022 5.4022 4.3353 Å, 90.00 90.00 120.00°
Closest atoms and distances in Å follow each position.
Sites, in units of the cell vectors:
Sr: 0.0000 0.0000 0.0000  18 Pt 3.12-3.46
Pt: 0.0000 0.5000 0.5000  8 Pt 2.67-2.70
Pt: 0.3333 0.6667 0.0000  6 Pt 2.67
Pt: 0.5000 0.0000 0.5000  8 Pt 2.67-2.70
Pt: 0.5000 0.5000 0.5000  8 Pt 2.67-2.70
Pt: 0.6667 0.3333 0.0000  6 Pt 2.67

Output
- E_form (eV/f.u.) = -3.7
- space-group type = P6/mmm, No. 191


(4)
A PBEsol-optimized structure of RbNa2Cd2. Source: the Alexandria database, functional SCAN.

Cell: 5.0119 5.0119 13.9410 Å, 90.00 90.00 90.00°
Closest atoms and distances in Å follow each position.
Sites, in units of the cell vectors:
Rb: 0.0000 0.0000 0.0000  8 Cd 3.82
Rb: 0.5000 0.5000 0.5000  8 Cd 3.82
Na: 0.0000 0.5000 0.2500  4 Cd 3.25, 4 Na 3.54
Na: 0.0000 0.5000 0.7500  4 Cd 3.25, 4 Na 3.54
Na: 0.5000 0.0000 0.2500  4 Cd 3.25, 4 Na 3.54
Na: 0.5000 0.0000 0.7500  4 Cd 3.25, 4 Na 3.54
Cd: 0.0000 0.0000 0.3980  1 Cd 2.84
Cd: 0.0000 0.0000 0.6020  1 Cd 2.84
Cd: 0.5000 0.5000 0.1020  1 Cd 2.84
Cd: 0.5000 0.5000 0.8980  1 Cd 2.84

Output
- E_form (eV/f.u.) = -0.2
- space-group type = I4/mmm, No. 139
- ΔE to the lowest computed polymorph (meV/atom) = 0.0


(5)
A PBEsol-optimized structure of SrMo3H. Source: the Alexandria database, functional SCAN.

Cell: 4.2420 4.2420 4.2420 Å, 90.00 90.00 90.00°
Closest atoms and distances in Å follow each position.
Sites, in units of the cell vectors:
Sr: 0.0000 0.0000 0.0000  12 Mo 3.00
Mo: 0.0000 0.5000 0.5000  2 H 2.12
Mo: 0.5000 0.0000 0.5000  2 H 2.12
Mo: 0.5000 0.5000 0.0000  2 H 2.12
H: 0.5000 0.5000 0.5000  6 Mo 2.12

Output
- E (eV per cell) = -124.21
- space-group type = Pm-3m, No. 221


(6)
A PBEsol-optimized structure of Ba5In3. Source: the Alexandria database, functional SCAN.

Cell: 8.8410 12.0038 5.9598 Å, 90.00 90.00 90.00°
Closest atoms and distances in Å follow each position.
Sites, in units of the cell vectors:
Ba: 0.0000 0.0000 0.0000  8 Ba 3.73-3.93, 4 In 4.00
Ba: 0.2100 0.5000 0.5000  6 In 3.51-3.81, 3 Ba 3.71-3.93
Ba: 0.2500 0.2500 0.0000  6 In 3.72-3.73, 2 Ba 3.73
Ba: 0.2500 0.7500 0.0000  6 In 3.72-3.73, 2 Ba 3.73
Ba: 0.2900 0.0000 0.5000  6 In 3.51-3.81, 3 Ba 3.71-3.93
Ba: 0.5000 0.5000 0.0000  8 Ba 3.73-3.93, 4 In 4.00
Ba: 0.7100 0.0000 0.5000  6 In 3.51-3.81, 3 Ba 3.71-3.93
Ba: 0.7500 0.2500 0.0000  6 In 3.72-3.73, 2 Ba 3.73
Ba: 0.7500 0.7500 0.0000  6 In 3.72-3.73, 2 Ba 3.73
Ba: 0.7900 0.5000 0.5000  6 In 3.51-3.81, 3 Ba 3.71-3.93
In: 0.0000 0.2224 0.5000  10 Ba 3.70-4.00
In: 0.0000 0.5000 0.0000  8 Ba 3.51-3.73
In: 0.0000 0.7776 0.5000  10 Ba 3.70-4.00
In: 0.5000 0.0000 0.0000  8 Ba 3.51-3.73
In: 0.5000 0.2776 0.5000  10 Ba 3.70-4.00
In: 0.5000 0.7224 0.5000  10 Ba 3.70-4.00

Output
- E_form (eV/f.u.) = -2.9
- space-group type = Cmmm, No. 65